No. 1
Computed, not measured: a relaxed structure of Cs2HAu at the PBE level of DFT.

Cell: 4.058 4.058 8.437 Å, 90.00 90.00 90.00°
Atoms (fractional coordinates):
Cs1 0.000 0.000 0.226
Cs2 0.000 0.000 0.774
H1 0.500 0.500 0.000
Au1 0.500 0.500 0.500

Summary:
Its energy above the most stable polymorph in this dataset is 30.0 meV per atom. Its space group is P4/mmm (123).

---

No. 2
Computed, not measured: a relaxed structure of TmMgGa2 at the PBE level of DFT.

Cell: 5.510 5.510 5.510 Å, 47.90 47.90 47.90°
Atoms (fractional coordinates):
Tm1 0.000 0.000 0.000
Mg1 0.500 0.500 0.500
Ga1 0.227 0.227 0.227
Ga2 0.773 0.773 0.773

Summary:
The formation energy is -0.3562 eV/atom. Its space group is R-3m (166).

---

No. 3
Computed, not measured: a relaxed structure of SrTl2F2 at the PBE level of DFT.

Cell: 6.665 6.665 5.957 Å, 90.00 90.00 90.00°
Atoms (fractional coordinates):
Sr1 0.000 0.000 0.000
Sr2 0.500 0.500 0.000
Tl1 0.179 0.321 0.500
Tl2 0.321 0.821 0.500
Tl3 0.679 0.179 0.500
Tl4 0.821 0.679 0.500
F1 0.214 0.286 0.000
F2 0.286 0.786 0.000
F3 0.714 0.214 0.000
F4 0.786 0.714 0.000

Summary:
The raw formation energy comes out at -1.99 eV/atom. Its space group is P4/mbm (127).

---

No. 4
Computed, not measured: a relaxed structure of Ho2ErCo at the PBE level of DFT.

Cell: 3.391 3.391 8.677 Å, 90.00 90.00 90.00°
Atoms (fractional coordinates):
Ho1 0.000 0.000 0.186
Ho2 0.000 0.000 0.814
Er1 0.500 0.500 0.500
Co1 0.500 0.500 0.000

Summary:
Its energy above the most stable polymorph in this dataset is 123.1 meV per atom. The formation energy is -0.0555 eV/atom. Its space group is P4/mmm (123).

---

No. 5
Computed, not measured: a relaxed structure of Zr2ScI at the PBE level of DFT.

Cell: 5.111 5.111 5.111 Å, 60.00 60.00 60.00°
Atoms (fractional coordinates):
Zr1 0.250 0.250 0.250
Zr2 0.750 0.750 0.750
Sc1 0.000 0.000 0.000
I1 0.500 0.500 0.500

Summary:
Its energy above the most stable polymorph in this dataset is 156.1 meV per atom. The raw formation energy comes out at 0.39 eV/atom. Its space group is Fm-3m (225).

---

No. 6
Computed, not measured: a relaxed structure of BaMgTi3 at the PBE level of DFT.

Cell: 5.111 5.111 5.111 Å, 90.00 90.00 90.00°
Atoms (fractional coordinates):
Ba1 0.000 0.000 0.000
Mg1 0.500 0.500 0.500
Ti1 0.000 0.500 0.500
Ti2 0.500 0.000 0.500
Ti3 0.500 0.500 0.000

Summary:
Its energy above the most stable polymorph in this dataset is 0.0 meV per atom. The formation energy is 1.1918 eV/atom. Its space group is Pm-3m (221).

---

Spin magnetization / μB per formula unit: 0.00; 0.00; 0.00; 1.10; 2.59; 0.00
Volume / A^3/atom: 34.74; 21.08; 26.47; 24.94; 23.60; 26.70